Entry 1:
A geometry-optimized Y4CdSe structure. Source: Alexandria, functional GGA-PBE.

CIF file:
```
data_Y4CdSe
_chemical_formula_sum 'Y4 Cd1 Se1'
_symmetry_space_group_name_H-M 'P 1'
_symmetry_Int_Tables_number 1
_cell_length_a 6.340
_cell_length_b 6.340
_cell_length_c 6.340
_cell_angle_alpha 60.00
_cell_angle_beta 60.00
_cell_angle_gamma 60.00
loop_
_symmetry_equiv_pos_as_xyz
'x,y,z'
loop_
_atom_site_label
_atom_site_type_symbol
_atom_site_fract_x
_atom_site_fract_y
_atom_site_fract_z
_atom_site_occupancy
Y1 Y 0.124 0.124 0.124 1
Y2 Y 0.124 0.124 0.627 1
Y3 Y 0.124 0.627 0.124 1
Y4 Y 0.627 0.124 0.124 1
Cd1 Cd 0.750 0.750 0.750 1
Se1 Se 0.500 0.500 0.500 1
```

Electronic total energy (eV/atom): -4.8234
Magnetization (μB/atom): 0.00
Raw formation energy (meV/atom): 219.2

Entry 2:
A geometry-optimized ZnCdSe2 structure. Source: Alexandria, functional GGA-PBE.

CIF file:
```
data_ZnCdSe2
_chemical_formula_sum 'Zn1 Cd1 Se2'
_symmetry_space_group_name_H-M 'P 1'
_symmetry_Int_Tables_number 1
_cell_length_a 3.396
_cell_length_b 3.396
_cell_length_c 7.151
_cell_angle_alpha 90.00
_cell_angle_beta 90.00
_cell_angle_gamma 90.00
loop_
_symmetry_equiv_pos_as_xyz
'x,y,z'
loop_
_atom_site_label
_atom_site_type_symbol
_atom_site_fract_x
_atom_site_fract_y
_atom_site_fract_z
_atom_site_occupancy
Zn1 Zn 0.000 0.000 0.000 1
Cd1 Cd 0.000 0.000 0.500 1
Se1 Se 0.500 0.500 0.234 1
Se2 Se 0.500 0.500 0.766 1
```

Electronic total energy (eV/atom): -2.2317
Magnetization (μB/atom): 0.00
Raw formation energy (meV/atom): 57.8

Entry 3:
A geometry-optimized Zn2CdSe2 structure. Source: Alexandria, functional GGA-PBE.

CIF file:
```
data_Zn2CdSe2
_chemical_formula_sum 'Zn2 Cd1 Se2'
_symmetry_space_group_name_H-M 'P 1'
_symmetry_Int_Tables_number 1
_cell_length_a 8.967
_cell_length_b 8.967
_cell_length_c 8.967
_cell_angle_alpha 153.69
_cell_angle_beta 153.69
_cell_angle_gamma 37.55
loop_
_symmetry_equiv_pos_as_xyz
'x,y,z'
loop_
_atom_site_label
_atom_site_type_symbol
_atom_site_fract_x
_atom_site_fract_y
_atom_site_fract_z
_atom_site_occupancy
Zn1 Zn 0.250 0.750 0.500 1
Zn2 Zn 0.750 0.250 0.500 1
Cd1 Cd 0.000 0.000 0.000 1
Se1 Se 0.339 0.339 0.000 1
Se2 Se 0.661 0.661 0.000 1
```

Electronic total energy (eV/atom): -2.4088
Magnetization (μB/atom): 0.00
Raw formation energy (meV/atom): -322.4

Entry 4:
A geometry-optimized ZnCdSe2 structure. Source: Alexandria, functional GGA-PBE.

CIF file:
```
data_ZnCdSe2
_chemical_formula_sum 'Zn1 Cd1 Se2'
_symmetry_space_group_name_H-M 'P 1'
_symmetry_Int_Tables_number 1
_cell_length_a 7.687
_cell_length_b 7.687
_cell_length_c 7.687
_cell_angle_alpha 33.03
_cell_angle_beta 33.03
_cell_angle_gamma 33.03
loop_
_symmetry_equiv_pos_as_xyz
'x,y,z'
loop_
_atom_site_label
_atom_site_type_symbol
_atom_site_fract_x
_atom_site_fract_y
_atom_site_fract_z
_atom_site_occupancy
Zn1 Zn 0.000 0.000 0.000 1
Cd1 Cd 0.500 0.500 0.500 1
Se1 Se 0.104 0.104 0.104 1
Se2 Se 0.896 0.896 0.896 1
```

Electronic total energy (eV/atom): -2.6600
Magnetization (μB/atom): 0.00
Raw formation energy (meV/atom): -370.5

Entry 5:
A geometry-optimized ZnCdSe2 structure. Source: Alexandria, functional GGA-PBE.

CIF file:
```
data_ZnCdSe2
_chemical_formula_sum 'Zn1 Cd1 Se2'
_symmetry_space_group_name_H-M 'P 1'
_symmetry_Int_Tables_number 1
_cell_length_a 6.533
_cell_length_b 6.533
_cell_length_c 4.233
_cell_angle_alpha 108.52
_cell_angle_beta 108.52
_cell_angle_gamma 31.38
loop_
_symmetry_equiv_pos_as_xyz
'x,y,z'
loop_
_atom_site_label
_atom_site_type_symbol
_atom_site_fract_x
_atom_site_fract_y
_atom_site_fract_z
_atom_site_occupancy
Zn1 Zn 0.000 0.000 0.000 1
Cd1 Cd 0.500 0.500 0.500 1
Se1 Se 0.246 0.246 0.246 1
Se2 Se 0.754 0.754 0.754 1
```

Electronic total energy (eV/atom): -2.2294
Magnetization (μB/atom): 0.00
Raw formation energy (meV/atom): 60.1

Entry 6:
A geometry-optimized ZnCdSe2 structure. Source: Alexandria, functional GGA-PBE.

CIF file:
```
data_ZnCdSe2
_chemical_formula_sum 'Zn8 Cd8 Se16'
_symmetry_space_group_name_H-M 'P 1'
_symmetry_Int_Tables_number 1
_cell_length_a 8.020
_cell_length_b 8.020
_cell_length_c 12.782
_cell_angle_alpha 91.06
_cell_angle_beta 91.06
_cell_angle_gamma 99.65
loop_
_symmetry_equiv_pos_as_xyz
'x,y,z'
loop_
_atom_site_label
_atom_site_type_symbol
_atom_site_fract_x
_atom_site_fract_y
_atom_site_fract_z
_atom_site_occupancy
Zn1 Zn 0.001 0.710 0.858 1
Zn2 Zn 0.187 0.494 0.641 1
Zn3 Zn 0.290 0.999 0.642 1
Zn4 Zn 0.494 0.187 0.141 1
Zn5 Zn 0.506 0.813 0.859 1
Zn6 Zn 0.710 0.001 0.358 1
Zn7 Zn 0.813 0.506 0.359 1
Zn8 Zn 0.999 0.290 0.142 1
Cd1 Cd 0.027 0.227 0.880 1
Cd2 Cd 0.227 0.027 0.380 1
Cd3 Cd 0.371 0.584 0.401 1
Cd4 Cd 0.416 0.629 0.099 1
Cd5 Cd 0.584 0.371 0.901 1
Cd6 Cd 0.629 0.416 0.599 1
Cd7 Cd 0.773 0.973 0.620 1
Cd8 Cd 0.973 0.773 0.120 1
Se1 Se 0.032 0.968 0.750 1
Se2 Se 0.061 0.545 0.251 1
Se3 Se 0.187 0.751 0.523 1
Se4 Se 0.249 0.813 0.977 1
Se5 Se 0.269 0.298 0.030 1
Se6 Se 0.298 0.269 0.530 1
Se7 Se 0.455 0.545 0.750 1
Se8 Se 0.455 0.939 0.249 1
Se9 Se 0.545 0.061 0.751 1
Se10 Se 0.545 0.455 0.250 1
Se11 Se 0.702 0.731 0.470 1
Se12 Se 0.731 0.702 0.970 1
Se13 Se 0.751 0.187 0.023 1
Se14 Se 0.813 0.249 0.477 1
Se15 Se 0.939 0.455 0.749 1
Se16 Se 0.968 0.032 0.250 1
```

Electronic total energy (eV/atom): -2.8121
Magnetization (μB/atom): 0.00
Raw formation energy (meV/atom): -522.5

Entry 7:
A geometry-optimized ZnCdSe2 structure. Source: Alexandria, functional GGA-PBE.

CIF file:
```
data_ZnCdSe2
_chemical_formula_sum 'Zn1 Cd1 Se2'
_symmetry_space_group_name_H-M 'P 1'
_symmetry_Int_Tables_number 1
_cell_length_a 4.910
_cell_length_b 4.910
_cell_length_c 4.910
_cell_angle_alpha 60.00
_cell_angle_beta 60.00
_cell_angle_gamma 60.00
loop_
_symmetry_equiv_pos_as_xyz
'x,y,z'
loop_
_atom_site_label
_atom_site_type_symbol
_atom_site_fract_x
_atom_site_fract_y
_atom_site_fract_z
_atom_site_occupancy
Zn1 Zn 0.000 0.000 0.000 1
Cd1 Cd 0.750 0.750 0.750 1
Se1 Se 0.250 0.250 0.250 1
Se2 Se 0.500 0.500 0.500 1
```

Electronic total energy (eV/atom): -2.0689
Magnetization (μB/atom): 0.00
Raw formation energy (meV/atom): 220.7

Entry 8:
A geometry-optimized ZnCdSe2 structure. Source: Alexandria, functional GGA-PBE.

CIF file:
```
data_ZnCdSe2
_chemical_formula_sum 'Zn1 Cd1 Se2'
_symmetry_space_group_name_H-M 'P 1'
_symmetry_Int_Tables_number 1
_cell_length_a 4.098
_cell_length_b 4.098
_cell_length_c 6.891
_cell_angle_alpha 90.00
_cell_angle_beta 90.00
_cell_angle_gamma 120.00
loop_
_symmetry_equiv_pos_as_xyz
'x,y,z'
loop_
_atom_site_label
_atom_site_type_symbol
_atom_site_fract_x
_atom_site_fract_y
_atom_site_fract_z
_atom_site_occupancy
Zn1 Zn 0.000 0.000 0.000 1
Cd1 Cd 0.333 0.667 0.493 1
Se1 Se 0.333 0.667 0.883 1
Se2 Se 0.667 0.333 0.316 1
```

Electronic total energy (eV/atom): -2.7899
Magnetization (μB/atom): 0.00
Raw formation energy (meV/atom): -500.4

Entry 9:
A geometry-optimized ZnCd2Se3 structure. Source: Alexandria, functional GGA-PBE.

CIF file:
```
data_ZnCd2Se3
_chemical_formula_sum 'Zn1 Cd2 Se3'
_symmetry_space_group_name_H-M 'P 1'
_symmetry_Int_Tables_number 1
_cell_length_a 7.397
_cell_length_b 7.397
_cell_length_c 7.397
_cell_angle_alpha 146.59
_cell_angle_beta 60.09
_cell_angle_gamma 131.60
loop_
_symmetry_equiv_pos_as_xyz
'x,y,z'
loop_
_atom_site_label
_atom_site_type_symbol
_atom_site_fract_x
_atom_site_fract_y
_atom_site_fract_z
_atom_site_occupancy
Zn1 Zn 0.000 0.000 0.000 1
Cd1 Cd 0.337 0.000 0.337 1
Cd2 Cd 0.663 0.000 0.663 1
Se1 Se 0.075 0.234 0.841 1
Se2 Se 0.393 0.234 0.159 1
Se3 Se 0.777 0.277 0.500 1
```

Electronic total energy (eV/atom): -2.9084
Magnetization (μB/atom): 0.00
Raw formation energy (meV/atom): -648.7

Entry 10:
A geometry-optimized ZnCdSe2 structure. Source: Alexandria, functional GGA-PBE.

CIF file:
```
data_ZnCdSe2
_chemical_formula_sum 'Zn1 Cd1 Se2'
_symmetry_space_group_name_H-M 'P 1'
_symmetry_Int_Tables_number 1
_cell_length_a 4.902
_cell_length_b 4.902
_cell_length_c 4.902
_cell_angle_alpha 60.00
_cell_angle_beta 60.00
_cell_angle_gamma 60.00
loop_
_symmetry_equiv_pos_as_xyz
'x,y,z'
loop_
_atom_site_label
_atom_site_type_symbol
_atom_site_fract_x
_atom_site_fract_y
_atom_site_fract_z
_atom_site_occupancy
Zn1 Zn 0.000 0.000 0.000 1
Cd1 Cd 0.500 0.500 0.500 1
Se1 Se 0.250 0.250 0.250 1
Se2 Se 0.750 0.750 0.750 1
```

Electronic total energy (eV/atom): -2.2146
Magnetization (μB/atom): 0.00
Raw formation energy (meV/atom): 74.9